ScTlNiF6: relaxed, PBE with a Hubbard U.

SG	No. 5
Fermi-level density of states	0.0	states/eV/cell
calculated total energy	-0.3965	Ry per atom

Cell: 5.4976 5.4920 6.0192 Å, 89.94 89.88 59.96°
With the nearest neighbours (Å) after each atom.
Fractional positions:
Sc  0.3332  0.3335  0.5000  6 F 2.05
F  0.3826  0.6185  0.3150  1 Ni 2.04, 1 Sc 2.05
F  0.0002  0.3819  0.3150  1 Ni 2.04, 1 Sc 2.05
F  0.3814  0.9995  0.6847  1 Ni 2.04, 1 Sc 2.05
F  0.6178  0.3820  0.6850  1 Ni 2.04, 1 Sc 2.05
F  0.6191  0.9994  0.3153  1 Ni 2.04, 1 Sc 2.05
F  0.9989  0.6185  0.6850  1 Ni 2.04, 1 Sc 2.05
Tl  0.9998  0.0003  0.0000  6 F 2.82-2.83
Ni  0.6668  0.6664  0.5000  6 F 2.04